DFT (GGA-PBEsol) results for an optimized crystal structure of Rb2CeBr5.

Summary:
formation energy from raw total energies = -1.793 eV per atom

Lattice parameters (Å, degrees): 8.571 9.281 13.592 90.00 90.00 90.00
Each line ends with the local moment (μB).
Element x y z (fractional)
Br1 0.418 0.250 0.509  0.00
Br2 0.844 0.750 0.703  -0.01
Br3 0.344 0.250 0.797  -0.01
Br4 0.168 0.545 0.573  -0.01
Br5 0.918 0.750 0.991  0.00
Br6 0.156 0.250 0.297  -0.01
Br7 0.832 0.045 0.427  -0.01
Br8 0.656 0.750 0.203  -0.01
Br9 0.668 0.455 0.927  -0.01
Br10 0.619 0.250 0.182  -0.01
Br11 0.881 0.250 0.682  -0.01
Br12 0.582 0.750 0.491  0.00
Br13 0.832 0.455 0.427  -0.01
Br14 0.082 0.250 0.009  0.00
Br15 0.332 0.545 0.073  -0.01
Br16 0.332 0.955 0.073  -0.01
Br17 0.668 0.045 0.927  -0.01
Br18 0.119 0.750 0.318  -0.01
Br19 0.168 0.955 0.573  -0.01
Br20 0.381 0.750 0.818  -0.01
Ce1 0.926 0.750 0.495  0.99
Ce2 0.074 0.250 0.505  0.99
Ce3 0.574 0.750 0.995  0.99
Ce4 0.426 0.250 0.005  0.99
Rb1 0.062 0.506 0.829  0.00
Rb2 0.938 0.006 0.171  0.00
Rb3 0.438 0.506 0.329  0.00
Rb4 0.562 0.494 0.671  0.00
Rb5 0.438 0.994 0.329  0.00
Rb6 0.938 0.494 0.171  0.00
Rb7 0.562 0.006 0.671  0.00
Rb8 0.062 0.994 0.829  0.00

DFT (GGA-PBEsol) results for an optimized crystal structure of BrCl5.

Summary:
energy relative to the lowest polymorph listed for this composition = 0 meV/atom
formation energy from raw total energies = 0.054 eV per atom

Lattice parameters (Å, degrees): 3.900 4.905 10.303 99.88 90.00 113.42
Element x y z (fractional)
Cl1 0.640 0.280 0.319
Cl2 0.081 0.163 0.624
Cl3 0.740 0.479 0.967
Cl4 0.307 0.613 0.647
Cl5 0.415 0.830 0.296
Br1 0.984 0.968 0.981

DFT (GGA-PBEsol) results for an optimized crystal structure of BrCl.

Summary:
energy relative to the lowest polymorph listed for this composition = 659 meV/atom
formation energy from raw total energies = 0.620 eV per atom

Lattice parameters (Å, degrees): 3.629 3.629 6.669 90.00 90.00 90.00
Element x y z (fractional)
Br1 0.500 0.000 0.881
Br2 0.000 0.500 0.119
Cl1 0.500 0.000 0.350
Cl2 0.000 0.500 0.650

DFT (GGA-PBEsol) results for an optimized crystal structure of BrCl.

Summary:
energy relative to the lowest polymorph listed for this composition = 106 meV/atom
formation energy from raw total energies = 0.066 eV per atom

Lattice parameters (Å, degrees): 4.206 4.584 6.875 90.00 90.00 90.00
Element x y z (fractional)
Cl1 0.500 0.000 0.204
Cl2 0.000 0.500 0.796
Br1 0.500 0.500 0.300
Br2 0.000 0.000 0.700

DFT (GGA-PBEsol) results for an optimized crystal structure of BrCl.

Summary:
energy relative to the lowest polymorph listed for this composition = 0 meV/atom
formation energy from raw total energies = -0.040 eV per atom

Lattice parameters (Å, degrees): 4.080 4.080 7.683 90.00 90.00 109.22
Element x y z (fractional)
Br1 0.000 0.000 0.500
Br2 0.000 0.000 0.000
Cl1 0.701 0.701 0.250
Cl2 0.299 0.299 0.750

DFT (GGA-PBEsol) results for an optimized crystal structure of BrCl.

Summary:
energy relative to the lowest polymorph listed for this composition = 491 meV/atom
formation energy from raw total energies = 0.451 eV per atom

Lattice parameters (Å, degrees): 4.207 4.207 6.850 72.12 72.12 60.00
Element x y z (fractional)
Br1 0.873 0.873 0.380
Br2 0.127 0.127 0.620
Cl1 0.380 0.380 0.860
Cl2 0.620 0.620 0.140

DFT (GGA-PBEsol) results for an optimized crystal structure of BrCl2.

Summary:
energy relative to the lowest polymorph listed for this composition = 0 meV/atom
formation energy from raw total energies = 0.067 eV per atom

Lattice parameters (Å, degrees): 3.910 4.938 10.514 100.16 90.00 113.32
Element x y z (fractional)
Cl1 0.289 0.579 0.833
Cl2 0.612 0.223 0.512
Cl3 0.711 0.421 0.167
Cl4 0.388 0.777 0.488
Br1 0.047 0.094 0.823
Br2 0.953 0.906 0.177

DFT (GGA-PBEsol) results for an optimized crystal structure of BrCl2.

Summary:
energy relative to the lowest polymorph listed for this composition = 436 meV/atom
formation energy from raw total energies = 0.503 eV per atom

Lattice parameters (Å, degrees): 3.355 4.603 4.603 90.00 90.00 90.00
Element x y z (fractional)
Br1 0.000 0.000 0.000
Cl1 0.500 0.000 0.500
Cl2 0.500 0.500 0.000

DFT (GGA-PBEsol) results for an optimized crystal structure of BrCl5.

Summary:
energy relative to the lowest polymorph listed for this composition = 32 meV/atom
formation energy from raw total energies = 0.086 eV per atom

Lattice parameters (Å, degrees): 4.447 3.931 10.495 100.79 90.00 90.00
Element x y z (fractional)
Cl1 0.500 0.598 0.195
Cl2 0.500 0.927 0.853
Cl3 0.000 0.623 0.246
Cl4 0.000 0.291 0.582
Cl5 0.500 0.266 0.532
Br1 0.000 0.963 0.925

DFT (GGA-PBEsol) results for an optimized crystal structure of BrCl2.

Summary:
energy relative to the lowest polymorph listed for this composition = 17 meV/atom
formation energy from raw total energies = 0.084 eV per atom

Lattice parameters (Å, degrees): 4.099 4.521 11.524 90.00 100.25 90.00
Element x y z (fractional)
Cl1 0.158 0.750 0.316
Cl2 0.842 0.250 0.684
Cl3 0.511 0.750 0.022
Cl4 0.489 0.250 0.978
Br1 0.188 0.250 0.377
Br2 0.812 0.750 0.623

DFT (GGA-PBEsol) results for an optimized crystal structure of BrCl.

Summary:
energy relative to the lowest polymorph listed for this composition = 665 meV/atom
formation energy from raw total energies = 0.626 eV per atom

Lattice parameters (Å, degrees): 3.175 3.175 4.185 90.00 90.00 90.00
Element x y z (fractional)
Cl1 0.500 0.500 0.500
Br1 0.000 0.000 0.000

DFT (GGA-PBEsol) results for an optimized crystal structure of CoBrCl2.

Summary:
energy relative to the lowest polymorph listed for this composition = 373 meV/atom
formation energy from raw total energies = 0.192 eV per atom

Lattice parameters (Å, degrees): 3.006 3.006 9.013 90.00 90.00 90.00
Each line ends with the local moment (μB).
Element x y z (fractional)
Br1 0.500 0.500 0.675  0.23
Cl1 0.500 0.500 0.336  0.26
Cl2 0.000 0.000 0.000  0.05
Co1 0.000 0.000 0.489  2.31

DFT (GGA-PBEsol) results for an optimized crystal structure of CoBrCl2.

Summary:
energy relative to the lowest polymorph listed for this composition = 884 meV/atom
formation energy from raw total energies = 0.703 eV per atom

Lattice parameters (Å, degrees): 3.122 4.896 4.896 90.00 90.00 90.00
Each line ends with the local moment (μB).
Element x y z (fractional)
Cl1 0.000 0.500 0.000  0.09
Cl2 0.000 0.000 0.500  0.09
Co1 0.500 0.500 0.500  2.23
Br1 0.500 0.000 0.000  0.07

DFT (GGA-PBEsol) results for an optimized crystal structure of CoBr3Cl.

Summary:
formation energy from raw total energies = -0.300 eV per atom

Lattice parameters (Å, degrees): 5.841 6.565 7.795 88.20 81.85 77.74
Element x y z (fractional)
Br1 0.596 0.890 0.700
Br2 0.718 0.837 0.199
Br3 0.015 0.110 0.856
Br4 0.578 0.221 0.383
Br5 0.995 0.439 0.546
Br6 0.128 0.952 0.464
Cl1 0.841 0.540 0.050
Cl2 0.472 0.363 0.765
Co1 0.794 0.165 0.622
Co2 0.299 0.165 0.622

DFT (GGA-PBEsol) results for an optimized crystal structure of CoBrCl2.

Summary:
energy relative to the lowest polymorph listed for this composition = 0 meV/atom
formation energy from raw total energies = -0.181 eV per atom

Lattice parameters (Å, degrees): 3.436 3.436 7.476 76.72 76.72 60.00
Element x y z (fractional)
Co1 0.501 0.501 0.496
Cl1 0.990 0.990 0.030
Cl2 0.780 0.780 0.659
Br1 0.228 0.228 0.315

DFT (GGA-PBEsol) results for an optimized crystal structure of CoBrCl2.

Summary:
energy relative to the lowest polymorph listed for this composition = 101 meV/atom
formation energy from raw total energies = -0.079 eV per atom

Lattice parameters (Å, degrees): 3.203 5.928 5.706 121.29 106.30 90.00
Each line ends with the local moment (μB).
Element x y z (fractional)
Co1 0.504 0.504 0.008  1.42
Cl1 0.006 0.006 0.012  0.32
Cl2 0.164 0.664 0.327  0.05
Br1 0.827 0.327 0.653  0.04

DFT (GGA-PBEsol) results for an optimized crystal structure of FeCo2BrCl.

Summary:
formation energy from raw total energies = 0.886 eV per atom

Lattice parameters (Å, degrees): 4.221 4.221 4.324 90.00 90.00 90.00
Each line ends with the local moment (μB).
Element x y z (fractional)
Co1 0.500 0.000 0.000  1.56
Co2 0.000 0.500 0.000  1.56
Br1 0.500 0.500 0.500  0.20
Fe1 0.000 0.000 0.500  2.75
Cl1 0.000 0.000 0.000  0.08

DFT (GGA-PBEsol) results for an optimized crystal structure of CrBrCl2.

Summary:
energy relative to the lowest polymorph listed for this composition = 82 meV/atom
formation energy from raw total energies = -0.464 eV per atom

Lattice parameters (Å, degrees): 3.399 3.399 9.941 80.16 80.16 60.00
Each line ends with the local moment (μB).
Element x y z (fractional)
Br1 0.000 0.000 0.000  -0.04
Cl1 0.882 0.882 0.355  0.00
Cl2 0.118 0.118 0.645  0.00
Cr1 0.500 0.500 0.500  3.45

DFT (GGA-PBEsol) results for an optimized crystal structure of Cr2BrCl.

Summary:
energy relative to the lowest polymorph listed for this composition = 78 meV/atom
formation energy from raw total energies = 0.276 eV per atom

Lattice parameters (Å, degrees): 3.700 3.700 6.397 90.00 90.00 90.00
Each line ends with the local moment (μB).
Element x y z (fractional)
Br1 0.000 0.000 0.440  0.06
Cl1 0.500 0.500 0.899  0.02
Cr1 0.000 0.000 0.866  4.23
Cr2 0.500 0.500 0.294  4.22

DFT (GGA-PBEsol) results for an optimized crystal structure of CrBrCl4.

Summary:
formation energy from raw total energies = 0.632 eV per atom

Lattice parameters (Å, degrees): 5.622 5.622 5.622 60.00 60.00 60.00
Each line ends with the local moment (μB).
Element x y z (fractional)
Cl1 0.375 0.874 0.375  0.06
Cl2 0.375 0.375 0.874  0.06
Cl3 0.874 0.375 0.375  0.06
Cl4 0.375 0.375 0.375  0.06
Cr1 0.750 0.750 0.750  4.02
Br1 0.000 0.000 0.000  -0.24

DFT (GGA-PBEsol) results for an optimized crystal structure of Cr2BrCl.

Summary:
energy relative to the lowest polymorph listed for this composition = 95 meV/atom
formation energy from raw total energies = 0.293 eV per atom

Lattice parameters (Å, degrees): 3.645 3.724 6.392 90.00 91.00 90.00
Each line ends with the local moment (μB).
Element x y z (fractional)
Br1 0.500 0.500 0.500  0.06
Cr1 0.123 0.000 0.266  4.19
Cr2 0.877 0.000 0.734  4.19
Cl1 0.000 0.500 0.000  0.02

DFT (GGA-PBEsol) results for an optimized crystal structure of Cr4BrCl.

Summary:
formation energy from raw total energies = 1.164 eV per atom

Lattice parameters (Å, degrees): 4.888 4.888 4.888 60.00 60.00 60.00
Element x y z (fractional)
Cr1 0.627 0.627 0.627
Cr2 0.627 0.627 0.119
Cr3 0.627 0.119 0.627
Cr4 0.119 0.627 0.627
Cl1 0.000 0.000 0.000
Br1 0.250 0.250 0.250

DFT (GGA-PBEsol) results for an optimized crystal structure of CrBrCl.

Summary:
formation energy from raw total energies = 0.374 eV per atom

Lattice parameters (Å, degrees): 4.673 4.673 4.673 60.00 60.00 60.00
Each line ends with the local moment (μB).
Element x y z (fractional)
Cl1 0.000 0.000 0.000  -0.13
Br1 0.250 0.250 0.250  -0.19
Cr1 0.500 0.500 0.500  3.93

DFT (GGA-PBEsol) results for an optimized crystal structure of CrBrCl2.

Summary:
energy relative to the lowest polymorph listed for this composition = 307 meV/atom
formation energy from raw total energies = -0.239 eV per atom

Lattice parameters (Å, degrees): 3.063 3.063 9.444 90.00 90.00 90.00
Each line ends with the local moment (μB).
Element x y z (fractional)
Cr1 0.500 0.500 0.000  3.60
Cl1 0.000 0.000 0.156  -0.02
Cl2 0.000 0.000 0.844  -0.02
Br1 0.500 0.500 0.500  0.00

DFT (GGA-PBEsol) results for an optimized crystal structure of CrBrCl2.

Summary:
energy relative to the lowest polymorph listed for this composition = 0 meV/atom
formation energy from raw total energies = -0.546 eV per atom

Lattice parameters (Å, degrees): 6.344 6.344 6.344 48.57 80.26 99.74
Each line ends with the local moment (μB).
Element x y z (fractional)
Br1 0.500 0.250 0.250  -0.12
Br2 0.000 0.000 0.000  -0.12
Cl1 0.870 0.745 0.625  -0.08
Cl2 0.370 0.625 0.505  -0.08
Cl3 0.130 0.505 0.125  -0.08
Cl4 0.630 0.125 0.745  -0.08
Cr1 0.000 0.500 0.500  3.08
Cr2 0.500 0.750 0.750  3.08

DFT (GGA-PBEsol) results for an optimized crystal structure of Cr2BrCl.

Summary:
energy relative to the lowest polymorph listed for this composition = 0 meV/atom
formation energy from raw total energies = 0.198 eV per atom

Lattice parameters (Å, degrees): 2.852 2.852 7.818 90.00 90.00 90.00
Element x y z (fractional)
Br1 0.000 0.000 0.418
Cl1 0.500 0.500 0.839
Cr1 0.500 0.500 0.234
Cr2 0.000 0.000 0.009

DFT (GGA-PBEsol) results for an optimized crystal structure of Rb2CrBrCl3.

Summary:
formation energy from raw total energies = -1.469 eV per atom

Lattice parameters (Å, degrees): 7.016 7.016 8.828 90.00 113.41 90.00
Each line ends with the local moment (μB).
Element x y z (fractional)
Rb1 0.863 0.500 0.727  0.00
Rb2 0.640 0.000 0.279  0.00
Rb3 0.363 0.000 0.727  0.00
Rb4 0.140 0.500 0.279  0.00
Cr1 0.996 0.000 0.993  3.63
Cr2 0.496 0.500 0.993  3.63
Br1 0.656 0.500 0.312  -0.01
Br2 0.156 0.000 0.312  -0.01
Cl1 0.750 0.249 0.997  0.00
Cl2 0.848 0.000 0.696  -0.01
Cl3 0.747 0.749 0.997  0.00
Cl4 0.348 0.500 0.696  -0.01
Cl5 0.247 0.751 0.997  0.00
Cl6 0.250 0.251 0.997  0.00